a:
Crystalline Ac3GeSb at its relaxed geometry, computed with PBE.

```
10
Lattice="7.5930 0.0000 0.0000 3.7966 7.3908 0.2011 3.7965 2.6930 8.0659" Properties=species:S:1:pos:R:3 pbc="T T T"
Ac 5.3042 4.7208 6.8889
Ac 9.2567 4.7207 6.8888
Ac 5.3259 1.3040 3.3108
Ac 9.2350 1.3041 3.3109
Ac 11.0770 5.3416 3.1472
Ac 7.2804 8.1668 7.2353
Sb 7.2804 5.9124 4.2506
Sb 11.0769 7.5160 6.1085
Ge 7.2804 0.4671 0.9874
Ge 3.4841 3.0346 5.0722
```

Computed properties:
Density of states at the Fermi level, states/eV/f.u.: 4.0
Volume, A^3/atom: 44.85
Crystal system: monoclinic

---

b:
Crystalline Ac3GeSb at its relaxed geometry, computed with PBE.

```
5
Lattice="-2.2449 -5.1588 -1.8936 -1.1933 -1.5391 5.6076 -5.3642 2.5013 -0.4550" Properties=species:S:1:pos:R:3 pbc="T T T"
Ge 0.0000 0.0000 0.0000
Ac -1.1224 -2.5794 -0.9468
Ac -2.6821 1.2506 -0.2275
Ac -0.5967 -0.7696 2.8038
Sb -4.4012 -2.0983 1.6295
```

Computed properties:
Density of states at the Fermi level, states/eV/f.u.: 4.1
Volume, A^3/atom: 41.84
Crystal system: cubic

---

Pick a: it beats the second-best structure by 8.6 kJ/mol of atoms.

---

a:
Crystalline Ac2ScGe at its relaxed geometry, computed with PBE.

```
4
Lattice="4.4988 0.0000 0.0000 0.0000 5.2296 0.0000 0.0000 0.0000 5.2296" Properties=species:S:1:pos:R:3 pbc="T T T"
Ac 0.0000 0.0000 2.6148
Ac 0.0000 2.6148 0.0000
Sc 2.2494 0.0000 0.0000
Ge 2.2494 2.6148 2.6148
```

Computed properties:
Density of states at the Fermi level, states/eV/f.u.: 5.0
Volume, A^3/atom: 30.76
Crystal system: tetragonal

---

b:
Crystalline Ac2ScGe at its relaxed geometry, computed with PBE.

```
4
Lattice="-1.6524 -1.5819 3.0046 1.6387 -2.9279 1.7328 5.6229 5.7327 8.4838" Properties=species:S:1:pos:R:3 pbc="T T T"
Ac 1.6791 -2.3331 6.8144
Ac 3.9301 3.5560 6.4068
Sc 0.0000 0.0000 0.0000
Ge 2.8046 0.6115 6.6106
```

Computed properties:
Density of states at the Fermi level, states/eV/f.u.: 6.8
Volume, A^3/atom: 35.43
Crystal system: trigonal

---

Pick a: it beats the second-best structure by 37.6 kJ/mol of atoms.

---

a:
Crystalline Ac2Sc3Ge4 at its relaxed geometry, computed with PBE.

```
18
Lattice="-0.9205 7.1373 2.5443 -6.5983 -2.4264 -3.2731 -2.4124 -2.7792 6.9235" Properties=species:S:1:pos:R:3 pbc="T T T"
Sc -4.5054 -2.6028 1.8252
Sc -4.4203 2.4369 6.8709
Sc -3.7594 2.3554 -0.3644
Sc -6.3912 2.5794 1.8015
Sc -5.5109 -0.5053 -0.6762
Sc -3.5400 -0.6478 4.3932
Ge -4.5181 0.3258 1.7690
Ge -5.4922 -2.5841 4.7013
Ge -2.7218 4.4791 5.7078
Ge -5.4132 1.6058 4.4257
Ge -6.6908 2.1489 -1.0503
Ge -3.2405 -0.2173 7.2450
Ge -4.4390 4.5158 1.4933
Ge -7.2094 -2.5474 0.4868
Ac -1.7219 -0.4816 0.7096
Ac -8.2094 2.4132 5.4851
Ac -2.5718 2.6382 3.0999
Ac -7.3595 -0.7066 3.0948
```

Computed properties:
Density of states at the Fermi level, states/eV/f.u.: 6.1
Volume, A^3/atom: 24.33
Crystal system: monoclinic

---

b:
Crystalline Ac2Sc3Ge4 at its relaxed geometry, computed with PBE.

```
18
Lattice="-3.6177 1.8860 5.2807 -6.0405 -5.0637 -2.3297 5.1361 -6.9475 1.7836" Properties=species:S:1:pos:R:3 pbc="T T T"
Ac -6.5815 -4.9985 1.4927
Ac 2.0594 -5.1267 3.2419
Ac -1.7025 -5.8209 5.1290
Ac -2.8196 -4.3043 -0.3944
Ge -2.1466 -1.2779 1.0940
Ge -4.4590 -7.1101 -0.5154
Ge -2.3755 -8.8473 3.6406
Ge -0.5666 -9.7903 1.0003
Ge -0.6633 -5.9776 1.6805
Ge -0.0632 -3.0151 5.2500
Ge -3.9555 -0.3349 3.7343
Ge -3.8588 -4.1476 3.0541
Sc -1.0291 -3.2947 2.5799
Sc 0.0000 0.0000 0.0000
Sc -3.4930 -6.8305 2.1547
Sc -2.8380 -2.3517 5.2203
Sc -4.8291 -1.5888 1.4755
Sc -1.6842 -7.7735 -0.4857
```

Computed properties:
Density of states at the Fermi level, states/eV/f.u.: 3.3
Volume, A^3/atom: 24.89
Crystal system: orthorhombic

---

Pick a: it beats the second-best structure by 5.8 kJ/mol of atoms.